Material: Cr2TcNi
Method: DFT, PBE
State: relaxed

CIF file:
```
data_Cr2TcNi
_chemical_formula_sum 'Cr2 Tc1 Ni1'
_space_group_name_H-M_alt 'P 1'
_space_group_IT_number 1
_cell_length_a 4.701
_cell_length_b 4.701
_cell_length_c 4.701
_cell_angle_alpha 141.92
_cell_angle_beta 128.96
_cell_angle_gamma 65.42
loop_
_space_group_symop_operation_xyz
'x,y,z'
loop_
_atom_site_label
_atom_site_type_symbol
_atom_site_fract_x
_atom_site_fract_y
_atom_site_fract_z
_atom_site_occupancy
Cr1 Cr 0.767 0.267 0.500 1
Tc1 Tc 0.237 0.737 0.500 1
Cr2 Cr 0.990 0.990 0.000 1
Ni1 Ni 0.507 0.507 0.000 1
```

Summary:
V: 12.29 Å³ per atom
calculated total energy: -8.732 eV per atom
magnetization: 0.00 μB/cell

***

Material: EuMg2Pb
Method: DFT, PBE
State: relaxed

CIF file:
```
data_EuMg2Pb
_chemical_formula_sum 'Eu1 Mg2 Pb1'
_space_group_name_H-M_alt 'P 1'
_space_group_IT_number 1
_cell_length_a 5.380
_cell_length_b 5.380
_cell_length_c 5.380
_cell_angle_alpha 60.00
_cell_angle_beta 60.00
_cell_angle_gamma 60.00
loop_
_space_group_symop_operation_xyz
'x,y,z'
loop_
_atom_site_label
_atom_site_type_symbol
_atom_site_fract_x
_atom_site_fract_y
_atom_site_fract_z
_atom_site_occupancy
Eu1 Eu 0.000 0.000 0.000 1
Mg1 Mg 0.750 0.750 0.750 1
Mg2 Mg 0.250 0.250 0.250 1
Pb1 Pb 0.500 0.500 0.500 1
```

Summary:
V: 27.53 Å³ per atom
polymorph energy (0 for the lowest one): 130.1 meV per atom
magnetization: 7.40 μB/cell

***

Material: TbCe3Ir2
Method: DFT, PBE
State: relaxed

CIF file:
```
data_TbCe3Ir2
_chemical_formula_sum 'Tb2 Ce6 Ir4'
_space_group_name_H-M_alt 'P 1'
_space_group_IT_number 1
_cell_length_a 4.103
_cell_length_b 8.606
_cell_length_c 9.473
_cell_angle_alpha 114.90
_cell_angle_beta 90.00
_cell_angle_gamma 103.79
loop_
_space_group_symop_operation_xyz
'x,y,z'
loop_
_atom_site_label
_atom_site_type_symbol
_atom_site_fract_x
_atom_site_fract_y
_atom_site_fract_z
_atom_site_occupancy
Ir1 Ir 0.475 0.950 0.825 1
Ir2 Ir 0.249 0.499 0.891 1
Ce1 Ce 0.056 0.112 0.388 1
Tb1 Tb 0.111 0.222 0.037 1
Ir3 Ir 0.525 0.050 0.175 1
Ce2 Ce 0.636 0.271 0.740 1
Ce3 Ce 0.944 0.888 0.612 1
Tb2 Tb 0.889 0.778 0.963 1
Ce4 Ce 0.364 0.729 0.260 1
Ir4 Ir 0.751 0.501 0.109 1
Ce5 Ce 0.723 0.447 0.388 1
Ce6 Ce 0.277 0.553 0.612 1
```

Summary:
V: 24.39 Å³ per atom
calculated total energy: -7.225 eV per atom
magnetization: 0.00 μB/cell